The following is a PBE calculation of a relaxed structure of Cd2PdPb, from the Alexandria database.

The structure in CIF format:
```
data_Cd2PdPb
_chemical_formula_sum 'Cd4 Pd2 Pb2'
_symmetry_space_group_name_H-M 'P 1 21/m 1'
_symmetry_Int_Tables_number 11
_symmetry_space_group_name_Hall '-P 2yb'
_cell_length_a 3.8264
_cell_length_b 9.1778
_cell_length_c 5.4375
_cell_angle_alpha 90.00
_cell_angle_beta 110.18
_cell_angle_gamma 90.00
loop_
_atom_site_label
_atom_site_type_symbol
_atom_site_fract_x
_atom_site_fract_y
_atom_site_fract_z
Cd1 Cd 0.1411 0.0415 0.2831
Pd1 Pd 0.2674 0.7500 0.5298
Pb1 Pb 0.4445 0.2500 0.8954
```

Calculated values
total magnetization = 0.000 Bohr magnetons per cell
DOS(E_F) = 3.2 states/eV/cell
DFT formation energy = -0.181 eV/atom